DFT (PBE) results for NaLi2NiP after structural relaxation.

It has space group P4/mmm (No. 123), with a = 4.6931 Å, b = 4.6931 Å, c = 4.2242 Å, α = 90.00°, β = 90.00° and γ = 90.00°. The inequivalent atoms are Na at (0.0000, 0.0000, 0.0000), Li at (0.0000, 0.5000, 0.5000), Ni at (0.5000, 0.5000, 0.0000) and P at (0.5000, 0.5000, 0.5000).

For the formation energy from the elements, the calculation gives -0.30 eV/atom. The total DFT energy (no corrections) is -3.5675 eV per atom. For the total moment, the calculation gives 0.00 μB per cell. The density of states at the Fermi level is 0.9 states/eV/cell. As for the crystal system: tetragonal.